# 1
Below is crystalline ZnTcPO at its relaxed geometry, with properties calculated at the GGA-PBE level.

Computed properties:
final energy: -6.03 eV per atom
space group: No. 8
volume: 13.73 A^3/atom

Geometry as CIF:
```
data_ZnTcPO
_chemical_formula_sum 'Zn1 Tc1 P1 O1'
_cell_length_a 4.478
_cell_length_b 4.478
_cell_length_c 5.105
_cell_angle_alpha 116.66
_cell_angle_beta 116.66
_cell_angle_gamma 37.52
_symmetry_space_group_name_H-M 'P 1'
_symmetry_Int_Tables_number 1
loop_
_symmetry_equiv_pos_as_xyz
'x,y,z'
loop_
_atom_site_label
_atom_site_type_symbol
_atom_site_fract_x
_atom_site_fract_y
_atom_site_fract_z
_atom_site_occupancy
Zn1 Zn 0.000 0.000 0.000 1
Tc1 Tc 0.650 0.650 0.520 1
P1 P 0.346 0.346 0.462 1
O1 O 0.176 0.176 0.824 1
```

# 2
Below is crystalline ZnTcP2O at its relaxed geometry, with properties calculated at the GGA-PBE level.

Computed properties:
N(E_F): 0.418 states/eV per atom
final energy: -5.52 eV per atom
space group: No. 123
volume: 16.88 A^3/atom

Geometry as CIF:
```
data_ZnTcP2O
_chemical_formula_sum 'Zn1 Tc1 P2 O1'
_cell_length_a 4.776
_cell_length_b 4.776
_cell_length_c 3.701
_cell_angle_alpha 90.00
_cell_angle_beta 90.00
_cell_angle_gamma 90.00
_symmetry_space_group_name_H-M 'P 1'
_symmetry_Int_Tables_number 1
loop_
_symmetry_equiv_pos_as_xyz
'x,y,z'
loop_
_atom_site_label
_atom_site_type_symbol
_atom_site_fract_x
_atom_site_fract_y
_atom_site_fract_z
_atom_site_occupancy
Zn1 Zn 0.000 0.000 0.000 1
Tc1 Tc 0.500 0.500 0.500 1
P1 P 0.000 0.500 0.500 1
P2 P 0.500 0.000 0.500 1
O1 O 0.500 0.500 0.000 1
```

# 3
Below is crystalline ZnTcPO at its relaxed geometry, with properties calculated at the GGA-PBE level.

Computed properties:
N(E_F): 0.020 states/eV per atom
final energy: -5.96 eV per atom
space group: No. 6
volume: 16.87 A^3/atom

Geometry as CIF:
```
data_ZnTcPO
_chemical_formula_sum 'Zn1 Tc1 P1 O1'
_cell_length_a 4.474
_cell_length_b 2.834
_cell_length_c 5.322
_cell_angle_alpha 90.00
_cell_angle_beta 90.68
_cell_angle_gamma 90.00
_symmetry_space_group_name_H-M 'P 1'
_symmetry_Int_Tables_number 1
loop_
_symmetry_equiv_pos_as_xyz
'x,y,z'
loop_
_atom_site_label
_atom_site_type_symbol
_atom_site_fract_x
_atom_site_fract_y
_atom_site_fract_z
_atom_site_occupancy
Zn1 Zn 0.000 0.000 0.000 1
Tc1 Tc 0.241 0.500 0.363 1
P1 P 0.912 0.000 0.559 1
O1 O 0.551 0.000 0.492 1
```

# 4
Below is crystalline ZnTcPO at its relaxed geometry, with properties calculated at the GGA-PBE level.

Computed properties:
N(E_F): 0.255 states/eV per atom
final energy: -5.92 eV per atom
space group: No. 8
volume: 14.40 A^3/atom

Geometry as CIF:
```
data_ZnTcPO
_chemical_formula_sum 'Zn1 Tc1 P1 O1'
_cell_length_a 4.568
_cell_length_b 4.568
_cell_length_c 4.566
_cell_angle_alpha 96.50
_cell_angle_beta 96.50
_cell_angle_gamma 37.50
_symmetry_space_group_name_H-M 'P 1'
_symmetry_Int_Tables_number 1
loop_
_symmetry_equiv_pos_as_xyz
'x,y,z'
loop_
_atom_site_label
_atom_site_type_symbol
_atom_site_fract_x
_atom_site_fract_y
_atom_site_fract_z
_atom_site_occupancy
Zn1 Zn 0.000 0.000 0.000 1
Tc1 Tc 0.489 0.489 0.487 1
P1 P 0.780 0.780 0.473 1
O1 O 0.702 0.702 0.776 1
```

# 5
Below is crystalline TeP2O2 at its relaxed geometry, with properties calculated at the GGA-PBE level.

Computed properties:
N(E_F): 0.708 states/eV per atom
final energy: -4.18 eV per atom
space group: No. 123
volume: 14.02 A^3/atom

Geometry as CIF:
```
data_TeP2O2
_chemical_formula_sum 'Te1 P2 O2'
_cell_length_a 4.063
_cell_length_b 4.063
_cell_length_c 4.247
_cell_angle_alpha 90.00
_cell_angle_beta 90.00
_cell_angle_gamma 90.00
_symmetry_space_group_name_H-M 'P 1'
_symmetry_Int_Tables_number 1
loop_
_symmetry_equiv_pos_as_xyz
'x,y,z'
loop_
_atom_site_label
_atom_site_type_symbol
_atom_site_fract_x
_atom_site_fract_y
_atom_site_fract_z
_atom_site_occupancy
Te1 Te 0.000 0.000 0.000 1
P1 P 0.000 0.500 0.500 1
P2 P 0.500 0.000 0.500 1
O1 O 0.500 0.500 0.000 1
O2 O 0.500 0.500 0.500 1
```

# 6
Below is crystalline Te2PO7 at its relaxed geometry, with properties calculated at the GGA-PBE level.

Computed properties:
N(E_F): 0.354 states/eV per atom
final energy: -5.95 eV per atom
space group: No. 29
volume: 14.65 A^3/atom

Geometry as CIF:
```
data_Te2PO7
_chemical_formula_sum 'Te8 P4 O28'
_cell_length_a 9.228
_cell_length_b 7.293
_cell_length_c 8.709
_cell_angle_alpha 90.00
_cell_angle_beta 90.00
_cell_angle_gamma 90.00
_symmetry_space_group_name_H-M 'P 1'
_symmetry_Int_Tables_number 1
loop_
_symmetry_equiv_pos_as_xyz
'x,y,z'
loop_
_atom_site_label
_atom_site_type_symbol
_atom_site_fract_x
_atom_site_fract_y
_atom_site_fract_z
_atom_site_occupancy
Te1 Te 0.150 0.224 0.000 1
Te2 Te 0.195 0.863 0.702 1
Te3 Te 0.305 0.863 0.202 1
Te4 Te 0.350 0.224 0.500 1
Te5 Te 0.650 0.776 0.000 1
Te6 Te 0.695 0.137 0.702 1
Te7 Te 0.805 0.137 0.202 1
Te8 Te 0.850 0.776 0.500 1
P1 P 0.058 0.457 0.307 1
P2 P 0.442 0.457 0.807 1
P3 P 0.558 0.543 0.307 1
P4 P 0.942 0.543 0.807 1
O1 O 0.006 0.908 0.618 1
O2 O 0.053 0.661 0.355 1
O3 O 0.099 0.619 0.803 1
O4 O 0.129 0.455 0.143 1
O5 O 0.146 0.338 0.423 1
O6 O 0.171 0.959 0.907 1
O7 O 0.224 0.132 0.658 1
O8 O 0.276 0.132 0.158 1
O9 O 0.329 0.959 0.407 1
O10 O 0.354 0.338 0.923 1
O11 O 0.371 0.455 0.643 1
O12 O 0.401 0.619 0.303 1
O13 O 0.447 0.661 0.855 1
O14 O 0.494 0.908 0.118 1
O15 O 0.506 0.092 0.618 1
O16 O 0.553 0.339 0.355 1
O17 O 0.599 0.381 0.803 1
O18 O 0.629 0.545 0.143 1
O19 O 0.646 0.662 0.423 1
O20 O 0.671 0.041 0.907 1
O21 O 0.724 0.868 0.658 1
O22 O 0.776 0.868 0.158 1
O23 O 0.829 0.041 0.407 1
O24 O 0.854 0.662 0.923 1
O25 O 0.871 0.545 0.643 1
O26 O 0.901 0.381 0.303 1
O27 O 0.947 0.339 0.855 1
O28 O 0.994 0.092 0.118 1
```

# 7
Below is crystalline TeP2O2 at its relaxed geometry, with properties calculated at the GGA-PBE level.

Computed properties:
N(E_F): 0.813 states/eV per atom
final energy: -3.59 eV per atom
space group: No. 123
volume: 20.56 A^3/atom

Geometry as CIF:
```
data_TeP2O2
_chemical_formula_sum 'Te1 P2 O2'
_cell_length_a 5.142
_cell_length_b 5.142
_cell_length_c 3.888
_cell_angle_alpha 90.00
_cell_angle_beta 90.00
_cell_angle_gamma 90.00
_symmetry_space_group_name_H-M 'P 1'
_symmetry_Int_Tables_number 1
loop_
_symmetry_equiv_pos_as_xyz
'x,y,z'
loop_
_atom_site_label
_atom_site_type_symbol
_atom_site_fract_x
_atom_site_fract_y
_atom_site_fract_z
_atom_site_occupancy
Te1 Te 0.000 0.000 0.000 1
P1 P 0.000 0.500 0.000 1
P2 P 0.500 0.000 0.000 1
O1 O 0.000 0.000 0.500 1
O2 O 0.500 0.500 0.500 1
```

# 8
Below is crystalline TePO3 at its relaxed geometry, with properties calculated at the GGA-PBE level.

Computed properties:
N(E_F): 0.306 states/eV per atom
final energy: -4.98 eV per atom
space group: No. 221
volume: 11.19 A^3/atom

Geometry as CIF:
```
data_TePO3
_chemical_formula_sum 'Te1 P1 O3'
_cell_length_a 3.825
_cell_length_b 3.825
_cell_length_c 3.825
_cell_angle_alpha 90.00
_cell_angle_beta 90.00
_cell_angle_gamma 90.00
_symmetry_space_group_name_H-M 'P 1'
_symmetry_Int_Tables_number 1
loop_
_symmetry_equiv_pos_as_xyz
'x,y,z'
loop_
_atom_site_label
_atom_site_type_symbol
_atom_site_fract_x
_atom_site_fract_y
_atom_site_fract_z
_atom_site_occupancy
Te1 Te 0.000 0.000 0.000 1
P1 P 0.500 0.500 0.500 1
O1 O 0.000 0.500 0.500 1
O2 O 0.500 0.000 0.500 1
O3 O 0.500 0.500 0.000 1
```

What is the final energy in the fifth record?
-4.18 eV per atom

Which formula does entry 1 have?
ZnTcPO

What is the final energy in the fifth record?
-4.18 eV per atom